Record 1
The following is a PBE calculation of a relaxed GaS crystal, from the Alexandria database. Values from VASP.

Structure (Quantum ESPRESSO input):
```
&SYSTEM
  ibrav = 0, nat = 4, ntyp = 2
/
ATOMIC_SPECIES
S 32.06 S.upf
Ga 69.72 Ga.upf
ATOMIC_POSITIONS crystal
S 0.250 0.834 0.834
S 0.750 0.166 0.166
Ga 0.250 0.361 0.361
Ga 0.750 0.639 0.639
CELL_PARAMETERS angstrom
-1.082 -3.257 -0.809
-1.346 -0.713 4.669
-4.614 1.253 1.123
```

Computed properties:
Energy relative to the elements, uncorrected in kJ/mol of formula units: -70
D(E_F) in states/eV/cell: 0.9
Spin magnetization in μB per cell: 0.00
Crystal system: orthorhombic
VASP energy in eV per atom: -3.937



Record 2
The following is a PBE calculation of a relaxed GaS crystal, from the Alexandria database. Values from VASP.

Structure (Quantum ESPRESSO input):
```
&SYSTEM
  ibrav = 0, nat = 12, ntyp = 2
/
ATOMIC_SPECIES
Ga 69.72 Ga.upf
S 32.06 S.upf
ATOMIC_POSITIONS crystal
Ga 0.000 0.677 0.791
Ga 0.500 0.323 0.709
Ga 0.500 0.323 0.291
Ga 0.000 0.677 0.209
Ga 0.000 0.801 0.500
Ga 0.500 0.199 0.000
S 0.000 0.034 0.647
S 0.500 0.966 0.853
S 0.500 0.966 0.147
S 0.000 0.034 0.353
S 0.000 0.474 0.000
S 0.500 0.526 0.500
CELL_PARAMETERS angstrom
3.672 0.000 0.000
0.000 5.031 0.000
0.000 0.000 13.391
```

Computed properties:
Energy relative to the elements, uncorrected in kJ/mol of formula units: -96
D(E_F) in states/eV/cell: 1.9
Spin magnetization in μB per cell: 0.00
Crystal system: orthorhombic
VASP energy in eV per atom: -4.074